## i
VASP calculation (PBE) on a relaxed structure of TlVRu2.

Structure (CIF):
```
data_TlVRu2
_chemical_formula_sum 'Tl1 V1 Ru2'
_cell_length_a 3.0506
_cell_length_b 3.0506
_cell_length_c 6.8300
_cell_angle_alpha 90.00
_cell_angle_beta 90.00
_cell_angle_gamma 90.00
_symmetry_space_group_name_H-M 'P 4/m m m'
_symmetry_Int_Tables_number 123
_symmetry_space_group_name_Hall '-P 4 2'
loop_
_atom_site_label
_atom_site_fract_x
_atom_site_fract_y
_atom_site_fract_z
_atom_site_occupancy
Tl1 0.0000 0.0000 0.0000 1
V1 0.0000 0.0000 0.5000 1
Ru1 0.5000 0.5000 0.2930 1
```

## ii
VASP calculation (PBE) on a relaxed structure of TlVRu2.

Structure (CIF):
```
data_TlVRu2
_chemical_formula_sum 'Tl4 V4 Ru8'
_cell_length_a 7.0684
_cell_length_b 7.0684
_cell_length_c 5.5658
_cell_angle_alpha 90.00
_cell_angle_beta 90.00
_cell_angle_gamma 90.00
_symmetry_space_group_name_H-M 'I -4 2 d'
_symmetry_Int_Tables_number 122
_symmetry_space_group_name_Hall 'I -4 2bw'
loop_
_atom_site_label
_atom_site_fract_x
_atom_site_fract_y
_atom_site_fract_z
_atom_site_occupancy
Tl1 0.0000 0.0000 0.0000 1
V1 0.0000 0.0000 0.5000 1
Ru1 0.1911 0.2500 0.6250 1
```

Tell me which of them is the least stable. Sure, it is ii.

## i
VASP calculation (PBE) on a relaxed structure of Tl2VRu.

Structure (CIF):
```
data_Tl2VRu
_chemical_formula_sum 'Tl8 V4 Ru4'
_cell_length_a 7.6647
_cell_length_b 7.6647
_cell_length_c 5.7249
_cell_angle_alpha 90.00
_cell_angle_beta 90.00
_cell_angle_gamma 90.00
_symmetry_space_group_name_H-M 'I -4 2 d'
_symmetry_Int_Tables_number 122
_symmetry_space_group_name_Hall 'I -4 2bw'
loop_
_atom_site_label
_atom_site_fract_x
_atom_site_fract_y
_atom_site_fract_z
_atom_site_occupancy
Tl1 0.2386 0.7500 0.1250 1
V1 0.0000 0.0000 0.5000 1
Ru1 0.0000 0.0000 0.0000 1
```

## ii
VASP calculation (PBE) on a relaxed structure of Tl2VRu.

Structure (CIF):
```
data_Tl2VRu
_chemical_formula_sum 'Tl8 V4 Ru4'
_cell_length_a 6.6801
_cell_length_b 6.6801
_cell_length_c 6.6801
_cell_angle_alpha 90.00
_cell_angle_beta 90.00
_cell_angle_gamma 90.00
_symmetry_space_group_name_H-M 'F m -3 m'
_symmetry_Int_Tables_number 225
_symmetry_space_group_name_Hall '-F 4 2 3'
loop_
_atom_site_label
_atom_site_fract_x
_atom_site_fract_y
_atom_site_fract_z
_atom_site_occupancy
Tl1 0.2500 0.2500 0.2500 1
V1 0.0000 0.0000 0.0000 1
Ru1 0.0000 0.0000 0.5000 1
```

Tell me which of them is the least stable. Sure, it is i.

## i
VASP calculation (PBE) on a relaxed structure of Tl2RuW.

Structure (CIF):
```
data_Tl2RuW
_chemical_formula_sum 'Tl8 Ru4 W4'
_cell_length_a 7.6405
_cell_length_b 7.6405
_cell_length_c 5.6515
_cell_angle_alpha 90.00
_cell_angle_beta 90.00
_cell_angle_gamma 90.00
_symmetry_space_group_name_H-M 'I -4 2 d'
_symmetry_Int_Tables_number 122
_symmetry_space_group_name_Hall 'I -4 2bw'
loop_
_atom_site_label
_atom_site_fract_x
_atom_site_fract_y
_atom_site_fract_z
_atom_site_occupancy
Tl1 0.2370 0.2500 0.1250 1
Ru1 0.0000 0.0000 0.0000 1
W1 0.0000 0.0000 0.5000 1
```

## ii
VASP calculation (PBE) on a relaxed structure of Tl2RuW.

Structure (CIF):
```
data_Tl2RuW
_chemical_formula_sum 'Tl4 Ru2 W2'
_cell_length_a 4.1685
_cell_length_b 4.1685
_cell_length_c 8.6741
_cell_angle_alpha 90.00
_cell_angle_beta 90.00
_cell_angle_gamma 90.00
_symmetry_space_group_name_H-M 'I -4 m 2'
_symmetry_Int_Tables_number 119
_symmetry_space_group_name_Hall 'I -4 -2'
loop_
_atom_site_label
_atom_site_fract_x
_atom_site_fract_y
_atom_site_fract_z
_atom_site_occupancy
Tl1 0.0000 0.0000 0.0000 1
Tl2 0.0000 0.5000 0.2500 1
Ru1 0.0000 0.0000 0.5000 1
W1 0.0000 0.5000 0.7500 1
```

Tell me which of them is the least stable. Sure, it is i.

## i
VASP calculation (PBE) on a relaxed structure of Tl2ZnRu.

Structure (CIF):
```
data_Tl2ZnRu
_chemical_formula_sum 'Tl6 Zn3 Ru3'
_cell_length_a 3.2509
_cell_length_b 3.2509
_cell_length_c 27.9707
_cell_angle_alpha 90.00
_cell_angle_beta 90.00
_cell_angle_gamma 120.00
_symmetry_space_group_name_H-M 'R 3 m'
_symmetry_Int_Tables_number 160
_symmetry_space_group_name_Hall 'R 3 -2"'
loop_
_atom_site_label
_atom_site_fract_x
_atom_site_fract_y
_atom_site_fract_z
_atom_site_occupancy
Tl1 0.0000 0.0000 0.0000 1
Tl2 0.0000 0.0000 0.2289 1
Zn1 0.0000 0.0000 0.7563 1
Ru1 0.0000 0.0000 0.4859 1
```

## ii
VASP calculation (PBE) on a relaxed structure of Tl2ZnRu.

Structure (CIF):
```
data_Tl2ZnRu
_chemical_formula_sum 'Tl8 Zn4 Ru4'
_cell_length_a 6.8883
_cell_length_b 6.8883
_cell_length_c 6.8883
_cell_angle_alpha 90.00
_cell_angle_beta 90.00
_cell_angle_gamma 90.00
_symmetry_space_group_name_H-M 'F -4 3 m'
_symmetry_Int_Tables_number 216
_symmetry_space_group_name_Hall 'F -4 2 3'
loop_
_atom_site_label
_atom_site_fract_x
_atom_site_fract_y
_atom_site_fract_z
_atom_site_occupancy
Tl1 0.0000 0.0000 0.0000 1
Tl2 0.2500 0.2500 0.2500 1
Zn1 0.0000 0.0000 0.5000 1
Ru1 0.2500 0.2500 0.7500 1
```

Tell me which of them is the least stable. Sure, it is ii.